! Hf2BeCrO | the Alexandria database | PBE+U | relaxed; values from VASP
! total moment = 0.226 μB per atom
! symmetry = No. 123
! DFT total energy = -33.5 eV/cell
&SYSTEM
  ibrav = 0, nat = 5, ntyp = 4
/
ATOMIC_SPECIES
Hf 178.49 Hf.upf
Be 9.01 Be.upf
Cr 52.00 Cr.upf
O 16.00 O.upf
CELL_PARAMETERS angstrom
5.124 0.000 0.000
0.000 5.124 0.000
0.000 0.000 3.033
ATOMIC_POSITIONS crystal
Hf 0.000 0.500 0.000
Hf 0.500 0.000 0.000
Be 0.000 0.000 0.000
Cr 0.500 0.500 0.500
O 0.000 0.000 0.500